Entry 1:
SrCdBi2: optimized geometry, PBE.

Properties
ρ: 8040 kg/m3
E: -2.888 eV per atom
total moment: 0.000 μB per cell

Lattice parameters (Å, degrees): 4.2948 4.2948 6.9200 90.00 90.00 90.00
Sites, in units of the cell vectors:
Cd1 0.5000 0.5000 0.5000
Bi1 0.0000 0.0000 0.2700
Bi2 0.0000 0.0000 0.7300
Sr1 0.5000 0.5000 0.0000

***

Entry 2:
SrCd2Bi: optimized geometry, PBE.

Properties
ρ: 7400 kg/m3
E: -2.202 eV per atom
total moment: 0.000 μB per cell

Lattice parameters (Å, degrees): 5.1827 4.7513 4.7513 90.00 90.00 90.00
Sites, in units of the cell vectors:
Bi1 0.5000 0.5000 0.5000
Cd1 0.0000 0.0000 0.5000
Cd2 0.0000 0.5000 0.0000
Sr1 0.5000 0.0000 0.0000

***

Entry 3:
SrCd2Bi2: optimized geometry, PBE.

Properties
ρ: 7788 kg/m3
E: -2.438 eV per atom
total moment: 0.000 μB per cell

Lattice parameters (Å, degrees): 8.9191 8.9191 3.9154 90.00 90.00 90.00
Sites, in units of the cell vectors:
Bi1 0.8525 0.6475 0.0000
Bi2 0.6475 0.1475 0.0000
Bi3 0.3525 0.8525 0.0000
Bi4 0.1475 0.3525 0.0000
Cd1 0.6482 0.8518 0.5000
Cd2 0.8518 0.3518 0.5000
Cd3 0.1482 0.6482 0.5000
Cd4 0.3518 0.1482 0.5000
Sr1 0.5000 0.5000 0.0000
Sr2 0.0000 0.0000 0.0000

***

Entry 4:
Sr2Cd2Bi: optimized geometry, PBE.

Properties
ρ: 5653 kg/m3
offset from the most stable computed form: 196.6 meV per atom
E: -2.053 eV per atom
total moment: 0.000 μB per cell

Lattice parameters (Å, degrees): 9.3713 9.3713 4.0745 90.00 90.00 90.00
Sites, in units of the cell vectors:
Cd1 0.3870 0.1130 0.5000
Cd2 0.1130 0.6130 0.5000
Cd3 0.6130 0.8870 0.5000
Cd4 0.8870 0.3870 0.5000
Sr1 0.6838 0.1838 0.0000
Sr2 0.8162 0.6838 0.0000
Sr3 0.3162 0.8162 0.0000
Sr4 0.1838 0.3162 0.0000
Bi1 0.0000 0.0000 0.0000
Bi2 0.5000 0.5000 0.0000

***

Entry 5:
SrCdBi3: optimized geometry, PBE.

Properties
ρ: 5954 kg/m3
offset from the most stable computed form: 943.8 meV per atom
E: -2.196 eV per atom
total moment: 0.000 μB per cell

Lattice parameters (Å, degrees): 6.1325 6.1325 6.1325 90.00 90.00 90.00
Sites, in units of the cell vectors:
Bi1 0.0000 0.0000 0.5000
Bi2 0.0000 0.5000 0.0000
Bi3 0.5000 0.0000 0.0000
Cd1 0.5000 0.5000 0.5000
Sr1 0.0000 0.0000 0.0000

***

Entry 6:
SrCd2Bi2: optimized geometry, PBE.

Properties
ρ: 7559 kg/m3
E: -2.578 eV per atom
total moment: 0.000 μB per cell

Lattice parameters (Å, degrees): 4.5999 4.5999 8.2512 73.81 73.81 90.00
Sites, in units of the cell vectors:
Sr1 0.0000 0.0000 0.0000
Cd1 0.2500 0.7500 0.5000
Cd2 0.7500 0.2500 0.5000
Bi1 0.6148 0.6148 0.7705
Bi2 0.3852 0.3852 0.2295

***

Values for energy of formation, eV/atom, ordered as above
-0.2982 -0.3538 -0.1829 -0.2381 0.6521 -0.3231